(1)
Compound: Pu2CdRh3
Source: Alexandria via LeMat-Bulk
Functional: PBE-GGA
Structure: optimized geometry

Results
Space-group type: C2/c (15)
E_tot, eV/atom: -8.887
M_tot, μB per formula unit: 9.3
Distance to the lowest polymorph of the same formula, eV per formula unit: 0.62

Unit cell a=8.3875 b=8.3875 c=3.8431 alpha=101.27 beta=101.27 gamma=68.06
Fractional positions:
Pu 0.0248 0.6885 0.6197
Pu 0.3115 0.9752 0.8803
Pu 0.6885 0.0248 0.1197
Pu 0.9752 0.3115 0.3803
Cd 0.3898 0.6102 0.2500
Cd 0.6102 0.3898 0.7500
Rh 0.1017 0.8983 0.2500
Rh 0.1808 0.3905 0.0114
Rh 0.3905 0.1808 0.5114
Rh 0.6095 0.8192 0.4886
Rh 0.8192 0.6095 0.9886
Rh 0.8983 0.1017 0.7500



(2)
Compound: Pu3CdRh5
Source: Alexandria via LeMat-Bulk
Functional: PBE-GGA
Structure: optimized geometry

Results
Space-group type: P6_3/mcm (193)
E_tot, eV/atom: -9.335
M_tot, μB per formula unit: 14.1

Unit cell a=8.2076 b=8.2076 c=5.7637 alpha=90.00 beta=90.00 gamma=120.00
Fractional positions:
Pu 0.0000 0.3678 0.2500
Pu 0.0000 0.6322 0.7500
Pu 0.3678 0.0000 0.2500
Pu 0.3678 0.3678 0.7500
Pu 0.6322 0.0000 0.7500
Pu 0.6322 0.6322 0.2500
Cd 0.0000 0.0000 0.0000
Cd 0.0000 0.0000 0.5000
Rh 0.0000 0.3019 0.7500
Rh 0.0000 0.6981 0.2500
Rh 0.3019 0.0000 0.7500
Rh 0.3019 0.3019 0.2500
Rh 0.3333 0.6667 0.0000
Rh 0.3333 0.6667 0.5000
Rh 0.6667 0.3333 0.0000
Rh 0.6667 0.3333 0.5000
Rh 0.6981 0.0000 0.2500
Rh 0.6981 0.6981 0.7500



(3)
Compound: PuCdRh
Source: Alexandria via LeMat-Bulk
Functional: PBE-GGA
Structure: optimized geometry

Results
Space-group type: C2/m (12)
E_tot, eV/atom: -7.815
M_tot, μB per formula unit: 5.1

Unit cell a=5.9293 b=5.9293 c=5.0924 alpha=98.58 beta=98.58 gamma=47.77
Fractional positions:
Pu 0.1333 0.1333 0.2982
Pu 0.8667 0.8667 0.7018
Cd 0.4263 0.4263 0.2269
Cd 0.5737 0.5737 0.7731
Rh 0.2088 0.2088 0.8210
Rh 0.7912 0.7912 0.1790



(4)
Compound: PuCd2Rh3
Source: Alexandria via LeMat-Bulk
Functional: PBE-GGA
Structure: optimized geometry

Results
Space-group type: Cmmm (65)
E_tot, eV/atom: -6.654
M_tot, μB per formula unit: 4.3

Unit cell a=7.3573 b=7.3573 c=6.5904 alpha=90.00 beta=90.00 gamma=143.16
Fractional positions:
Pu 0.1598 0.8402 0.0000
Pu 0.8402 0.1598 0.0000
Cd 0.1674 0.8326 0.5000
Cd 0.5000 0.5000 0.0000
Cd 0.5000 0.5000 0.5000
Cd 0.8326 0.1674 0.5000
Rh 0.0000 0.0000 0.2549
Rh 0.0000 0.0000 0.7451
Rh 0.3306 0.6694 0.2438
Rh 0.3306 0.6694 0.7562
Rh 0.6694 0.3306 0.2438
Rh 0.6694 0.3306 0.7562



(5)
Compound: PuCd2Rh
Source: Alexandria via LeMat-Bulk
Functional: PBE-GGA
Structure: optimized geometry

Results
Space-group type: R-3m (166)
E_tot, eV/atom: -5.671
M_tot, μB per formula unit: 5.1

Unit cell a=11.1087 b=11.1087 c=11.1087 alpha=15.28 beta=15.28 gamma=15.28
Fractional positions:
Pu 0.0000 0.0000 0.0000
Cd 0.0978 0.0978 0.0978
Cd 0.9022 0.9022 0.9022
Rh 0.5000 0.5000 0.5000



(6)
Compound: Pu2CdRh3
Source: Alexandria via LeMat-Bulk
Functional: PBE-GGA
Structure: optimized geometry

Results
Space-group type: Cmmm (65)
E_tot, eV/atom: -8.991
M_tot, μB per formula unit: 9.5
Distance to the lowest polymorph of the same formula, eV per formula unit: 0.00

Unit cell a=7.3451 b=7.3451 c=3.6103 alpha=90.00 beta=90.00 gamma=144.34
Fractional positions:
Pu 0.1617 0.8383 0.0000
Pu 0.8383 0.1617 0.0000
Cd 0.5000 0.5000 0.0000
Rh 0.0000 0.0000 0.5000
Rh 0.3365 0.6635 0.5000
Rh 0.6635 0.3365 0.5000



(7)
Compound: PuCdRh
Source: Alexandria via LeMat-Bulk
Functional: PBE-GGA
Structure: optimized geometry

Results
Space-group type: P3m1 (156)
E_tot, eV/atom: -7.684
M_tot, μB per formula unit: 5.6

Unit cell a=4.8522 b=4.8522 c=3.0194 alpha=90.00 beta=90.00 gamma=120.00
Fractional positions:
Pu 0.0000 0.0000 0.0000
Cd 0.6667 0.3333 0.5043
Rh 0.3333 0.6667 0.4749



(8)
Compound: Pu4CdRh3
Source: Alexandria via LeMat-Bulk
Functional: PBE-GGA
Structure: optimized geometry

Results
Space-group type: I4/mcm (140)
E_tot, eV/atom: -10.437
M_tot, μB per formula unit: 21.0

Unit cell a=8.2054 b=8.2054 c=8.2054 alpha=96.81 beta=96.81 gamma=139.70
Fractional positions:
Pu 0.0809 0.7759 0.8568
Pu 0.2241 0.0809 0.3049
Pu 0.2759 0.5809 0.8568
Pu 0.4191 0.2759 0.6951
Pu 0.5809 0.7241 0.3049
Pu 0.7241 0.4191 0.1432
Pu 0.7759 0.9191 0.6951
Pu 0.9191 0.2241 0.1432
Cd 0.2500 0.7500 0.5000
Cd 0.7500 0.2500 0.5000
Rh 0.1651 0.3349 0.5000
Rh 0.2500 0.2500 0.0000
Rh 0.3349 0.8349 0.1698
Rh 0.6651 0.1651 0.8302
Rh 0.7500 0.7500 0.0000
Rh 0.8349 0.6651 0.5000



(9)
Compound: Pu5Cd2Rh4
Source: Alexandria via LeMat-Bulk
Functional: PBE-GGA
Structure: optimized geometry

Results
Space-group type: C2/m (12)
E_tot, eV/atom: -9.528
M_tot, μB per formula unit: 15.4

Unit cell a=10.0329 b=10.0329 c=8.0313 alpha=106.38 beta=106.38 gamma=17.26
Fractional positions:
Pu 0.0000 0.0000 0.0000
Pu 0.3406 0.3406 0.8670
Pu 0.4294 0.4294 0.3032
Pu 0.5706 0.5706 0.6968
Pu 0.6594 0.6594 0.1330
Cd 0.1885 0.1885 0.5344
Cd 0.8115 0.8115 0.4656
Rh 0.2913 0.2913 0.1517
Rh 0.4326 0.4326 0.6559
Rh 0.5674 0.5674 0.3441
Rh 0.7087 0.7087 0.8483



(10)
Compound: PuCdRh
Source: Alexandria via LeMat-Bulk
Functional: PBE-GGA
Structure: optimized geometry

Results
Space-group type: I4mm (107)
E_tot, eV/atom: -7.759
M_tot, μB per formula unit: 5.3

Unit cell a=6.5160 b=6.5160 c=6.5160 alpha=151.60 beta=151.60 gamma=40.59
Fractional positions:
Pu 0.0000 0.0000 0.0000
Cd 0.7078 0.7078 0.0000
Rh 0.3546 0.3546 0.0000



(11)
Compound: Pu3CdRh8
Source: Alexandria via LeMat-Bulk
Functional: PBE-GGA
Structure: optimized geometry

Results
Space-group type: R3m (160)
E_tot, eV/atom: -8.950
M_tot, μB per formula unit: 14.0

Unit cell a=9.2017 b=9.2017 c=9.2017 alpha=33.51 beta=33.51 gamma=33.51
Fractional positions:
Pu 0.0000 0.0000 0.0000
Pu 0.1263 0.1263 0.1263
Pu 0.5034 0.5034 0.5034
Cd 0.6275 0.6275 0.6275
Rh 0.0649 0.0649 0.5637
Rh 0.0649 0.5637 0.0649
Rh 0.0647 0.5641 0.5641
Rh 0.3143 0.3143 0.3143
Rh 0.5637 0.0649 0.0649
Rh 0.5641 0.0646 0.5641
Rh 0.5641 0.5641 0.0647
Rh 0.8144 0.8144 0.8144



(12)
Compound: PuCdRh2
Source: Alexandria via LeMat-Bulk
Functional: PBE-GGA
Structure: optimized geometry

Results
Space-group type: R-3m (166)
E_tot, eV/atom: -7.480
M_tot, μB per formula unit: 4.2
Distance to the lowest polymorph of the same formula, eV per formula unit: 1.60

Unit cell a=9.6633 b=9.6633 c=9.6633 alpha=17.60 beta=17.60 gamma=17.60
Fractional positions:
Pu 0.0000 0.0000 0.0000
Cd 0.5000 0.5000 0.5000
Rh 0.0859 0.0859 0.0859
Rh 0.9141 0.9141 0.9141



Q: Among the records above, which one has the highest E_tot?
A: PuCd2Rh



Q: Which of these has the highest E_tot?
A: PuCd2Rh